This record from Alexandria describes a geometry-optimized SrFeP2O8 structure. The functional is PBE with a Hubbard U.

## Properties
raw total energy = -82.05 eV per cell
total magnetic moment = 2.00 μB/f.u.

Lattice parameters (Å, degrees): 4.8088 4.8088 7.3826 90.00 90.00 120.00
Space group P-3 (No. 147)
Asymmetric unit:
1 Sr 0.0000 0.0000 0.0000
2 Fe 0.0000 0.0000 0.5000
3 P 0.3333 0.6667 0.7220
4 O 0.0530 0.3365 0.6576
5 O 0.3333 0.6667 0.9291